Entry 1:
Below is ZnP after structural relaxation, with properties calculated at the GGA-PBE level. Values from VASP.

Quantum ESPRESSO input file:
```
&SYSTEM
  ibrav = 0, nat = 4, ntyp = 2
/
ATOMIC_SPECIES
P 30.97 P.upf
Zn 65.41 Zn.upf
CELL_PARAMETERS angstrom
5.878 -2.034 -0.013
5.878 2.034 -0.013
5.182 0.000 3.441
ATOMIC_POSITIONS crystal
P 0.066 0.066 0.066
P 0.934 0.934 0.934
Zn 0.584 0.584 0.584
Zn 0.416 0.416 0.416
```

Magnetic moment in μB/cell: 0.000
E_form in eV/atom: -0.07
Calculated density in g/cm³: 3.88
Space-group type: R-3m, No. 166

---

Entry 2:
Below is Sm3Se3O after structural relaxation, with properties calculated at the GGA-PBE level. Values from VASP.

Quantum ESPRESSO input file:
```
&SYSTEM
  ibrav = 0, nat = 14, ntyp = 3
/
ATOMIC_SPECIES
Se 78.96 Se.upf
Sm 150.36 Sm.upf
O 16.00 O.upf
CELL_PARAMETERS angstrom
5.843 0.000 0.000
0.000 8.973 -0.001
0.000 -4.473 7.779
ATOMIC_POSITIONS crystal
Se 0.250 0.181 0.362
Se 0.250 0.638 0.818
Se 0.750 0.819 0.180
Se 0.250 0.181 0.820
Se 0.750 0.362 0.182
Se 0.750 0.819 0.638
Sm 0.750 0.189 0.380
Sm 0.750 0.190 0.811
Sm 0.250 0.811 0.620
Sm 0.250 0.810 0.189
Sm 0.250 0.380 0.190
Sm 0.750 0.620 0.810
O 0.750 0.333 0.667
O 0.250 0.667 0.333
```

Magnetic moment in μB/cell: 0.000
Calculated density in g/cm³: 5.73
E_form (uncorrected) in eV/f.u.: -14.6
Offset from the most stable computed form in meV per atom: 153
Space-group type: Cmcm, No. 63

---

Entry 3:
Below is Sn2GeSb after structural relaxation, with properties calculated at the GGA-PBE level. Values from VASP.

Quantum ESPRESSO input file:
```
&SYSTEM
  ibrav = 0, nat = 8, ntyp = 3
/
ATOMIC_SPECIES
Sn 118.71 Sn.upf
Ge 72.64 Ge.upf
Sb 121.76 Sb.upf
CELL_PARAMETERS angstrom
6.599 0.000 0.000
0.000 6.599 0.000
3.299 3.299 6.480
ATOMIC_POSITIONS crystal
Sn 0.375 0.402 0.750
Sn 0.598 0.125 0.250
Sn 0.152 0.625 0.250
Sn 0.875 0.848 0.750
Ge 0.500 0.500 0.000
Ge 0.250 0.750 0.500
Sb 0.000 0.000 0.000
Sb 0.750 0.250 0.500
```

Magnetic moment in μB/cell: 0.000
Calculated density in g/cm³: 5.08
E_form (uncorrected) in eV/f.u.: 0.5
Offset from the most stable computed form in meV per atom: 33
Space-group type: I-42d, No. 122

---

Entry 4:
Below is Cu3RhF9 after structural relaxation, with properties calculated at the GGA-PBE level. Values from VASP.

Quantum ESPRESSO input file:
```
&SYSTEM
  ibrav = 0, nat = 26, ntyp = 3
/
ATOMIC_SPECIES
Cu 63.55 Cu.upf
F 19.00 F.upf
Rh 102.91 Rh.upf
CELL_PARAMETERS angstrom
4.518 0.000 1.901
1.755 8.238 2.149
-1.200 0.366 9.170
ATOMIC_POSITIONS crystal
Cu 0.484 0.248 0.745
Cu 0.072 0.108 0.139
Cu 0.311 0.395 0.353
Cu 0.522 0.748 0.245
Cu 0.941 0.895 0.853
Cu 0.681 0.608 0.639
F 0.571 0.528 0.333
F 0.263 0.177 0.357
F 0.734 0.825 0.630
F 0.811 0.325 0.130
F 0.204 0.677 0.857
F 0.568 0.199 0.537
F 0.440 0.968 0.157
F 0.182 0.520 0.157
F 0.855 0.981 0.331
F 0.001 0.008 0.993
F 0.833 0.481 0.831
F 0.321 0.301 0.952
F 0.568 0.028 0.833
F 0.998 0.508 0.493
F 0.435 0.468 0.657
F 0.427 0.801 0.452
F 0.142 0.020 0.657
F 0.695 0.699 0.037
Rh 0.008 0.500 0.994
Rh 0.498 0.000 0.494
```

Magnetic moment in μB/cell: 6.162
Calculated density in g/cm³: 4.31
E_form (uncorrected) in eV/f.u.: -18.8
Space-group type: Cc, No. 9

---

Entry 5:
Below is Li3YCu8 after structural relaxation, with properties calculated at the GGA-PBE level. Values from VASP.

Quantum ESPRESSO input file:
```
&SYSTEM
  ibrav = 0, nat = 12, ntyp = 3
/
ATOMIC_SPECIES
Li 6.94 Li.upf
Y 88.91 Y.upf
Cu 63.55 Cu.upf
CELL_PARAMETERS angstrom
-1.306 0.656 4.775
-1.643 -3.870 2.693
6.643 -2.702 4.799
ATOMIC_POSITIONS crystal
Li 0.488 0.488 0.535
Li 0.006 0.006 0.981
Li 0.374 0.374 0.879
Y 0.875 0.875 0.374
Cu 0.440 0.940 0.179
Cu 0.187 0.187 0.438
Cu 0.440 0.440 0.179
Cu 0.938 0.435 0.690
Cu 0.689 0.689 0.934
Cu 0.940 0.440 0.179
Cu 0.435 0.938 0.690
Cu 0.938 0.938 0.690
```

Magnetic moment in μB/cell: 0.000
E_form in eV/atom: -0.12
Calculated density in g/cm³: 5.84
Offset from the most stable computed form in meV per atom: 3
Space-group type: R3m, No. 160

---

Entry 6:
Below is RbSn2I6 after structural relaxation, with properties calculated at the GGA-PBE level. Values from VASP.

Quantum ESPRESSO input file:
```
&SYSTEM
  ibrav = 0, nat = 9, ntyp = 3
/
ATOMIC_SPECIES
Sn 118.71 Sn.upf
I 126.90 I.upf
Rb 85.47 Rb.upf
CELL_PARAMETERS angstrom
5.867 0.000 0.000
2.933 7.544 -0.498
2.933 2.578 10.331
ATOMIC_POSITIONS crystal
Sn 0.820 0.210 0.150
Sn 0.180 0.790 0.850
I 0.699 0.703 0.899
I 0.301 0.297 0.101
I 0.004 0.174 0.818
I 0.326 0.767 0.581
I 0.674 0.233 0.419
I 0.996 0.826 0.182
Rb 0.000 0.500 0.500
```

Magnetic moment in μB/cell: 0.000
Calculated density in g/cm³: 3.87
E_form (uncorrected) in eV/f.u.: -5.8
Space-group type: C2/m, No. 12

---

Entry 7:
Below is ScNbBi2 after structural relaxation, with properties calculated at the GGA-PBE level. Values from VASP.

Quantum ESPRESSO input file:
```
&SYSTEM
  ibrav = 0, nat = 4, ntyp = 3
/
ATOMIC_SPECIES
Sc 44.96 Sc.upf
Nb 92.91 Nb.upf
Bi 208.98 Bi.upf
CELL_PARAMETERS angstrom
0.000 3.592 3.592
3.592 0.000 3.592
3.592 3.592 0.000
ATOMIC_POSITIONS crystal
Sc 0.000 0.000 0.000
Nb 0.500 0.500 0.500
Bi 0.750 0.750 0.750
Bi 0.250 0.250 0.250
```

Magnetic moment in μB/cell: 0.000
E_form in eV/atom: -0.05
Calculated density in g/cm³: 9.95
Offset from the most stable computed form in meV per atom: 0
Space-group type: Fm-3m, No. 225

---

Entry 8:
Below is RbMg2Sn3 after structural relaxation, with properties calculated at the GGA-PBE level. Values from VASP.

Quantum ESPRESSO input file:
```
&SYSTEM
  ibrav = 0, nat = 12, ntyp = 3
/
ATOMIC_SPECIES
Mg 24.30 Mg.upf
Sn 118.71 Sn.upf
Rb 85.47 Rb.upf
CELL_PARAMETERS angstrom
6.420 0.000 0.000
0.000 7.881 -0.298
0.000 -1.875 7.660
ATOMIC_POSITIONS crystal
Mg 0.500 0.216 0.784
Mg 0.000 0.216 0.784
Mg 0.000 0.784 0.216
Mg 0.500 0.784 0.216
Sn 0.250 0.542 0.937
Sn 0.750 0.458 0.063
Sn 0.750 0.063 0.458
Sn 0.250 0.935 0.935
Sn 0.250 0.937 0.542
Sn 0.750 0.065 0.065
Rb 0.750 0.661 0.661
Rb 0.250 0.339 0.339
```

Magnetic moment in μB/cell: 0.000
E_form in eV/atom: -0.13
Calculated density in g/cm³: 4.24
Space-group type: Cmcm, No. 63

---

Entry 9:
Below is NaLiPtF6 after structural relaxation, with properties calculated at the GGA-PBE level. Values from VASP.

Quantum ESPRESSO input file:
```
&SYSTEM
  ibrav = 0, nat = 18, ntyp = 4
/
ATOMIC_SPECIES
Na 22.99 Na.upf
F 19.00 F.upf
Li 6.94 Li.upf
Pt 195.08 Pt.upf
CELL_PARAMETERS angstrom
5.509 0.000 0.000
-2.755 4.771 0.000
0.000 0.000 8.851
ATOMIC_POSITIONS crystal
Na 0.333 0.667 0.250
Na 0.667 0.333 0.750
F 0.362 0.041 0.125
F 0.679 0.638 0.125
F 0.959 0.638 0.375
F 0.041 0.362 0.625
F 0.959 0.321 0.125
F 0.321 0.959 0.625
F 0.638 0.959 0.875
F 0.321 0.362 0.875
F 0.041 0.679 0.875
F 0.679 0.041 0.375
F 0.362 0.321 0.375
F 0.638 0.679 0.625
Li 0.000 0.000 0.500
Li 0.000 0.000 0.000
Pt 0.667 0.333 0.250
Pt 0.333 0.667 0.750
```

Magnetic moment in μB/cell: 0.000
Calculated density in g/cm³: 4.84
E_form (uncorrected) in eV/f.u.: -18.6
Space-group type: P-31c, No. 163

---

Entry 10:
Below is PuSnBiN after structural relaxation, with properties calculated at the GGA-PBE level. Values from VASP.

Quantum ESPRESSO input file:
```
&SYSTEM
  ibrav = 0, nat = 4, ntyp = 4
/
ATOMIC_SPECIES
Pu 244.00 Pu.upf
Bi 208.98 Bi.upf
N 14.01 N.upf
Sn 118.71 Sn.upf
CELL_PARAMETERS angstrom
-2.648 1.889 -0.123
-1.129 -1.747 -2.504
-2.316 -5.589 7.059
ATOMIC_POSITIONS crystal
Pu 0.620 0.620 0.240
Bi 0.961 0.961 0.923
N 0.152 0.152 0.304
Sn 0.279 0.279 0.557
```

Magnetic moment in μB/cell: 4.727
Calculated density in g/cm³: 10.19
E_form (uncorrected) in eV/f.u.: -1.7
Space-group type: I4mm, No. 107

---

Entry 11:
Below is TbZrCd after structural relaxation, with properties calculated at the GGA-PBE level. Values from VASP.

Quantum ESPRESSO input file:
```
&SYSTEM
  ibrav = 0, nat = 3, ntyp = 3
/
ATOMIC_SPECIES
Tb 158.93 Tb.upf
Zr 91.22 Zr.upf
Cd 112.41 Cd.upf
CELL_PARAMETERS angstrom
-2.110 1.451 2.242
-2.027 -2.730 -0.140
5.407 -2.092 3.858
ATOMIC_POSITIONS crystal
Tb 0.999 0.999 0.998
Zr 0.326 0.326 0.653
Cd 0.674 0.674 0.349
```

Magnetic moment in μB/cell: 0.000
E_form in eV/atom: -0.12
Calculated density in g/cm³: 7.95
Offset from the most stable computed form in meV per atom: 0
Space-group type: I4mm, No. 107

---

Entry 12:
Below is NbRe3 after structural relaxation, with properties calculated at the GGA-PBE level. Values from VASP.

Quantum ESPRESSO input file:
```
&SYSTEM
  ibrav = 0, nat = 4, ntyp = 2
/
ATOMIC_SPECIES
Nb 92.91 Nb.upf
Re 186.21 Re.upf
CELL_PARAMETERS angstrom
-1.526 -2.158 0.817
-0.042 -1.620 -4.358
4.093 -2.549 0.908
ATOMIC_POSITIONS crystal
Nb 0.000 0.000 0.999
Re 0.000 0.500 0.339
Re 0.500 0.500 0.829
Re 0.500 0.000 0.499
```

Magnetic moment in μB/cell: 0.000
E_form in eV/atom: 0.17
Calculated density in g/cm³: 17.14
Offset from the most stable computed form in meV per atom: 120
Space-group type: Pmm2, No. 25

---

- magnetic moment of number 5 (Li3YCu8)?
  0.000 μB/cell

---

- Look up the magnetic moment of the first one.
  0.000 μB/cell

---

- What is the calculated density in the fourth record?
  4.31 g/cm³